Material: Zr2ScPb
Method: DFT, GGA-PBE
State: optimized geometry

Cell lengths 4.315, 4.745, 9.384 Å; angles 90.00, 90.00, 90.00 degrees
Space group Cmmm (No. 65)
Asymmetric unit:
Zr  0.000  0.000  0.246 [4 per cell]
Sc  0.000  0.500  0.000 [2 per cell]
Pb  0.000  0.500  0.500 [2 per cell]

- Energy relative to the elements: -0.0322 eV/atom
- Total moment: 0.00 μB per formula unit